CdCuHg4 | PBE | relaxed

## Properties
The crystal system is cubic. The formation energy from the elements comes out at 410.1 meV per atom. The energy comes out at -0.63 eV/atom.

a = 5.985 Å, b = 5.985 Å, c = 5.985 Å
α = 60.00°, β = 60.00°, γ = 60.00°
Sites, in units of the cell vectors:
Cd1 0.750 0.750 0.750
Cu1 0.000 0.000 0.000
Hg1 0.375 0.876 0.375
Hg2 0.876 0.375 0.375
Hg3 0.375 0.375 0.876
Hg4 0.375 0.375 0.375